DFT (PBE-GGA) results for a relaxed structure of Dy3S3O.

Output
volume = 23.5 Å³ per atom
formation energy (no corrections) = -2.185 eV per atom

Structure (CIF):
```
data_Dy3S3O
_symmetry_space_group_name_H-M 'P 1'
_symmetry_Int_Tables_number 1
_cell_length_a 7.105
_cell_length_b 7.105
_cell_length_c 7.105
_cell_angle_alpha 116.74
_cell_angle_beta 116.74
_cell_angle_gamma 116.74
loop_
_symmetry_equiv_pos_as_xyz
'x,y,z'
loop_
_atom_site_label
_atom_site_type_symbol
_atom_site_fract_x
_atom_site_fract_y
_atom_site_fract_z
Dy1 Dy 0.200 0.900 0.900
Dy2 Dy 0.900 0.200 0.900
Dy3 Dy 0.900 0.900 0.200
S1 S 0.342 0.342 0.926
S2 S 0.342 0.926 0.342
S3 S 0.926 0.342 0.342
O1 O 0.860 0.860 0.860
```

***

DFT (PBE-GGA) results for a relaxed structure of Dy4S5O.

Output
volume = 22.6 Å³ per atom
formation energy (no corrections) = -2.170 eV per atom

Structure (CIF):
```
data_Dy4S5O
_symmetry_space_group_name_H-M 'P 1'
_symmetry_Int_Tables_number 1
_cell_length_a 9.369
_cell_length_b 9.369
_cell_length_c 9.369
_cell_angle_alpha 157.10
_cell_angle_beta 134.97
_cell_angle_gamma 51.10
loop_
_symmetry_equiv_pos_as_xyz
'x,y,z'
loop_
_atom_site_label
_atom_site_type_symbol
_atom_site_fract_x
_atom_site_fract_y
_atom_site_fract_z
Dy1 Dy 0.218 0.218 0.000
Dy2 Dy 0.227 0.500 0.727
Dy3 Dy 0.773 0.500 0.273
Dy4 Dy 0.782 0.782 0.000
S1 S 0.081 0.339 0.742
S2 S 0.403 0.661 0.742
S3 S 0.500 0.000 0.500
S4 S 0.597 0.339 0.258
S5 S 0.919 0.661 0.258
O1 O 0.000 0.000 0.000
```

***

DFT (PBE-GGA) results for a relaxed structure of Dy2S2O.

Output
volume = 20.1 Å³ per atom
formation energy (no corrections) = -2.632 eV per atom
excess energy over the best structure of this formula in the dataset = 5 meV per atom

Structure (CIF):
```
data_Dy2S2O
_symmetry_space_group_name_H-M 'P 1'
_symmetry_Int_Tables_number 1
_cell_length_a 15.631
_cell_length_b 3.813
_cell_length_c 6.746
_cell_angle_alpha 90.00
_cell_angle_beta 90.00
_cell_angle_gamma 90.00
loop_
_symmetry_equiv_pos_as_xyz
'x,y,z'
loop_
_atom_site_label
_atom_site_type_symbol
_atom_site_fract_x
_atom_site_fract_y
_atom_site_fract_z
Dy1 Dy 0.041 0.250 0.206
Dy2 Dy 0.165 0.250 0.756
Dy3 Dy 0.335 0.750 0.256
Dy4 Dy 0.459 0.750 0.706
Dy5 Dy 0.541 0.250 0.294
Dy6 Dy 0.665 0.250 0.744
Dy7 Dy 0.835 0.750 0.244
Dy8 Dy 0.959 0.750 0.794
S1 S 0.100 0.750 0.513
S2 S 0.181 0.750 0.046
S3 S 0.319 0.250 0.546
S4 S 0.400 0.250 0.013
S5 S 0.600 0.750 0.987
S6 S 0.681 0.750 0.454
S7 S 0.819 0.250 0.954
S8 S 0.900 0.250 0.487
O1 O 0.031 0.250 0.868
O2 O 0.469 0.750 0.368
O3 O 0.531 0.250 0.632
O4 O 0.969 0.750 0.132
```

***

DFT (PBE-GGA) results for a relaxed structure of Dy2S2O.

Output
volume = 19.5 Å³ per atom
formation energy (no corrections) = -2.636 eV per atom
excess energy over the best structure of this formula in the dataset = 0 meV per atom

Structure (CIF):
```
data_Dy2S2O
_symmetry_space_group_name_H-M 'P 1'
_symmetry_Int_Tables_number 1
_cell_length_a 8.291
_cell_length_b 6.918
_cell_length_c 6.875
_cell_angle_alpha 90.00
_cell_angle_beta 99.27
_cell_angle_gamma 90.00
loop_
_symmetry_equiv_pos_as_xyz
'x,y,z'
loop_
_atom_site_label
_atom_site_type_symbol
_atom_site_fract_x
_atom_site_fract_y
_atom_site_fract_z
Dy1 Dy 0.076 0.143 0.321
Dy2 Dy 0.076 0.357 0.821
Dy3 Dy 0.362 0.554 0.250
Dy4 Dy 0.362 0.946 0.750
Dy5 Dy 0.638 0.054 0.250
Dy6 Dy 0.638 0.446 0.750
Dy7 Dy 0.924 0.643 0.179
Dy8 Dy 0.924 0.857 0.679
S1 S 0.180 0.634 0.576
S2 S 0.180 0.866 0.076
S3 S 0.424 0.223 0.470
S4 S 0.424 0.277 0.970
S5 S 0.576 0.723 0.030
S6 S 0.576 0.777 0.530
S7 S 0.820 0.134 0.924
S8 S 0.820 0.366 0.424
O1 O 0.117 0.087 0.650
O2 O 0.117 0.413 0.150
O3 O 0.883 0.587 0.850
O4 O 0.883 0.913 0.350
```

***

DFT (PBE-GGA) results for a relaxed structure of Dy3S2O2.

Output
volume = 19.5 Å³ per atom
formation energy (no corrections) = -2.742 eV per atom

Structure (CIF):
```
data_Dy3S2O2
_symmetry_space_group_name_H-M 'P 1'
_symmetry_Int_Tables_number 1
_cell_length_a 6.568
_cell_length_b 6.568
_cell_length_c 6.408
_cell_angle_alpha 115.41
_cell_angle_beta 115.41
_cell_angle_gamma 33.48
loop_
_symmetry_equiv_pos_as_xyz
'x,y,z'
loop_
_atom_site_label
_atom_site_type_symbol
_atom_site_fract_x
_atom_site_fract_y
_atom_site_fract_z
Dy1 Dy 0.000 0.000 0.000
Dy2 Dy 0.222 0.222 0.703
Dy3 Dy 0.778 0.778 0.297
S1 S 0.401 0.401 0.173
S2 S 0.599 0.599 0.827
O1 O 0.179 0.179 0.325
O2 O 0.821 0.821 0.675
```

***

DFT (PBE-GGA) results for a relaxed structure of Dy2SO2.

Output
volume = 19.8 Å³ per atom
formation energy (no corrections) = -2.997 eV per atom

Structure (CIF):
```
data_Dy2SO2
_symmetry_space_group_name_H-M 'P 1'
_symmetry_Int_Tables_number 1
_cell_length_a 6.406
_cell_length_b 6.406
_cell_length_c 8.944
_cell_angle_alpha 114.84
_cell_angle_beta 114.84
_cell_angle_gamma 37.09
loop_
_symmetry_equiv_pos_as_xyz
'x,y,z'
loop_
_atom_site_label
_atom_site_type_symbol
_atom_site_fract_x
_atom_site_fract_y
_atom_site_fract_z
Dy1 Dy 0.009 0.009 0.286
Dy2 Dy 0.336 0.336 0.930
Dy3 Dy 0.664 0.664 0.070
Dy4 Dy 0.991 0.991 0.714
S1 S 0.163 0.163 0.613
S2 S 0.837 0.837 0.387
O1 O 0.158 0.158 0.973
O2 O 0.475 0.475 0.818
O3 O 0.525 0.525 0.182
O4 O 0.842 0.842 0.027
```

***

DFT (PBE-GGA) results for a relaxed structure of Dy2S2O.

Output
volume = 19.7 Å³ per atom
formation energy (no corrections) = -2.601 eV per atom
excess energy over the best structure of this formula in the dataset = 35 meV per atom

Structure (CIF):
```
data_Dy2S2O
_symmetry_space_group_name_H-M 'P 1'
_symmetry_Int_Tables_number 1
_cell_length_a 7.589
_cell_length_b 7.589
_cell_length_c 7.036
_cell_angle_alpha 90.00
_cell_angle_beta 90.00
_cell_angle_gamma 150.91
loop_
_symmetry_equiv_pos_as_xyz
'x,y,z'
loop_
_atom_site_label
_atom_site_type_symbol
_atom_site_fract_x
_atom_site_fract_y
_atom_site_fract_z
Dy1 Dy 0.051 0.949 0.500
Dy2 Dy 0.334 0.666 0.393
Dy3 Dy 0.666 0.334 0.893
Dy4 Dy 0.949 0.051 0.000
S1 S 0.298 0.702 0.017
S2 S 0.450 0.550 0.691
S3 S 0.550 0.450 0.191
S4 S 0.702 0.298 0.517
O1 O 0.094 0.906 0.829
O2 O 0.906 0.094 0.329
```

***

DFT (PBE-GGA) results for a relaxed structure of Dy3SO3.

Output
volume = 17.5 Å³ per atom
formation energy (no corrections) = -3.120 eV per atom

Structure (CIF):
```
data_Dy3SO3
_symmetry_space_group_name_H-M 'P 1'
_symmetry_Int_Tables_number 1
_cell_length_a 7.577
_cell_length_b 7.577
_cell_length_c 7.577
_cell_angle_alpha 51.38
_cell_angle_beta 51.38
_cell_angle_gamma 51.38
loop_
_symmetry_equiv_pos_as_xyz
'x,y,z'
loop_
_atom_site_label
_atom_site_type_symbol
_atom_site_fract_x
_atom_site_fract_y
_atom_site_fract_z
Dy1 Dy 0.073 0.407 0.739
Dy2 Dy 0.261 0.927 0.593
Dy3 Dy 0.407 0.739 0.073
Dy4 Dy 0.593 0.261 0.927
Dy5 Dy 0.739 0.073 0.407
Dy6 Dy 0.927 0.593 0.261
S1 S 0.167 0.167 0.167
S2 S 0.833 0.833 0.833
O1 O 0.047 0.709 0.376
O2 O 0.291 0.624 0.953
O3 O 0.376 0.047 0.709
O4 O 0.624 0.953 0.291
O5 O 0.709 0.376 0.047
O6 O 0.953 0.291 0.624
```

***

DFT (PBE-GGA) results for a relaxed structure of Dy2SO2.

Output
volume = 16.7 Å³ per atom
formation energy (no corrections) = -3.202 eV per atom

Structure (CIF):
```
data_Dy2SO2
_symmetry_space_group_name_H-M 'P 1'
_symmetry_Int_Tables_number 1
_cell_length_a 3.798
_cell_length_b 3.798
_cell_length_c 13.378
_cell_angle_alpha 90.00
_cell_angle_beta 90.00
_cell_angle_gamma 120.00
loop_
_symmetry_equiv_pos_as_xyz
'x,y,z'
loop_
_atom_site_label
_atom_site_type_symbol
_atom_site_fract_x
_atom_site_fract_y
_atom_site_fract_z
Dy1 Dy 0.333 0.667 0.108
Dy2 Dy 0.333 0.667 0.392
Dy3 Dy 0.667 0.333 0.608
Dy4 Dy 0.667 0.333 0.892
S1 S 0.000 0.000 0.250
S2 S 0.000 0.000 0.750
O1 O 0.333 0.667 0.565
O2 O 0.333 0.667 0.935
O3 O 0.667 0.333 0.065
O4 O 0.667 0.333 0.435
```

***

DFT (PBE-GGA) results for a relaxed structure of Dy2SO.

Output
volume = 20.7 Å³ per atom
formation energy (no corrections) = -2.436 eV per atom
excess energy over the best structure of this formula in the dataset = 0 meV per atom

Structure (CIF):
```
data_Dy2SO
_symmetry_space_group_name_H-M 'P 1'
_symmetry_Int_Tables_number 1
_cell_length_a 3.901
_cell_length_b 3.901
_cell_length_c 10.876
_cell_angle_alpha 90.00
_cell_angle_beta 90.00
_cell_angle_gamma 90.00
loop_
_symmetry_equiv_pos_as_xyz
'x,y,z'
loop_
_atom_site_label
_atom_site_type_symbol
_atom_site_fract_x
_atom_site_fract_y
_atom_site_fract_z
Dy1 Dy 0.250 0.250 0.100
Dy2 Dy 0.250 0.250 0.612
Dy3 Dy 0.750 0.750 0.388
Dy4 Dy 0.750 0.750 0.900
S1 S 0.250 0.250 0.363
S2 S 0.750 0.750 0.637
O1 O 0.250 0.750 0.000
O2 O 0.750 0.250 0.000
```

***

Repeat the fourth record exactly.
DFT (PBE-GGA) results for a relaxed structure of Dy2S2O.

Output
volume = 19.5 Å³ per atom
formation energy (no corrections) = -2.636 eV per atom
excess energy over the best structure of this formula in the dataset = 0 meV per atom

Structure (CIF):
```
data_Dy2S2O
_symmetry_space_group_name_H-M 'P 1'
_symmetry_Int_Tables_number 1
_cell_length_a 8.291
_cell_length_b 6.918
_cell_length_c 6.875
_cell_angle_alpha 90.00
_cell_angle_beta 99.27
_cell_angle_gamma 90.00
loop_
_symmetry_equiv_pos_as_xyz
'x,y,z'
loop_
_atom_site_label
_atom_site_type_symbol
_atom_site_fract_x
_atom_site_fract_y
_atom_site_fract_z
Dy1 Dy 0.076 0.143 0.321
Dy2 Dy 0.076 0.357 0.821
Dy3 Dy 0.362 0.554 0.250
Dy4 Dy 0.362 0.946 0.750
Dy5 Dy 0.638 0.054 0.250
Dy6 Dy 0.638 0.446 0.750
Dy7 Dy 0.924 0.643 0.179
Dy8 Dy 0.924 0.857 0.679
S1 S 0.180 0.634 0.576
S2 S 0.180 0.866 0.076
S3 S 0.424 0.223 0.470
S4 S 0.424 0.277 0.970
S5 S 0.576 0.723 0.030
S6 S 0.576 0.777 0.530
S7 S 0.820 0.134 0.924
S8 S 0.820 0.366 0.424
O1 O 0.117 0.087 0.650
O2 O 0.117 0.413 0.150
O3 O 0.883 0.587 0.850
O4 O 0.883 0.913 0.350
```

***

> Look up the formation energy (no corrections) of the second one.

-2.170 eV per atom

***

> What is the formula in the tenth record?

Dy2SO

***

What did the eighth record say?
DFT (PBE-GGA) results for a relaxed structure of Dy3SO3.

Output
volume = 17.5 Å³ per atom
formation energy (no corrections) = -3.120 eV per atom

Structure (CIF):
```
data_Dy3SO3
_symmetry_space_group_name_H-M 'P 1'
_symmetry_Int_Tables_number 1
_cell_length_a 7.577
_cell_length_b 7.577
_cell_length_c 7.577
_cell_angle_alpha 51.38
_cell_angle_beta 51.38
_cell_angle_gamma 51.38
loop_
_symmetry_equiv_pos_as_xyz
'x,y,z'
loop_
_atom_site_label
_atom_site_type_symbol
_atom_site_fract_x
_atom_site_fract_y
_atom_site_fract_z
Dy1 Dy 0.073 0.407 0.739
Dy2 Dy 0.261 0.927 0.593
Dy3 Dy 0.407 0.739 0.073
Dy4 Dy 0.593 0.261 0.927
Dy5 Dy 0.739 0.073 0.407
Dy6 Dy 0.927 0.593 0.261
S1 S 0.167 0.167 0.167
S2 S 0.833 0.833 0.833
O1 O 0.047 0.709 0.376
O2 O 0.291 0.624 0.953
O3 O 0.376 0.047 0.709
O4 O 0.624 0.953 0.291
O5 O 0.709 0.376 0.047
O6 O 0.953 0.291 0.624
```